The following is a DFT calculation (PBE) of a relaxed Li2SnB2O6 crystal.

abc: 5.3419 8.6997 10.8496
angles: 89.09 86.99 89.05
Last column: nearest neighbours and their distance in Å.
Atoms (fractional coordinates):
B: 0.1674 0.6993 0.3803  3 O 1.37-1.40
B: 0.3410 0.8435 0.6276  3 O 1.37-1.41
B: 0.6540 0.1566 0.3632  3 O 1.36-1.40
B: 0.8615 0.3182 0.6275  3 O 1.38-1.40
B: 0.1645 0.3456 0.8667  3 O 1.38-1.40
B: 0.3147 0.2164 0.1185  3 O 1.36-1.40
B: 0.8559 0.6566 0.1219  3 O 1.37-1.39
B: 0.6833 0.7972 0.8644  3 O 1.38-1.40
Li: 0.3622 0.5542 0.1150  3 O 1.90-1.91
Li: 0.8351 0.6563 0.6106  4 O 2.04-2.25
Li: 0.3993 0.3861 0.3386  4 O 1.94-2.13
Li: 0.9852 0.0587 0.7736  3 O 1.89-1.98
Li: 0.6498 0.4463 0.8279  3 O 1.88-2.05
Li: 0.3520 0.5401 0.5801  4 O 2.02-2.07
Li: 0.3856 0.0499 0.9489  4 O 1.96-2.17
Li: 0.0211 0.9471 0.2141  4 O 1.97-2.04
O: 0.4496 0.1937 0.4433  1 B 1.40
O: 0.2851 0.2126 0.8199  1 B 1.40
O: 0.1960 0.7188 0.6737  1 B 1.41
O: 0.2575 0.9892 0.6553  1 B 1.37
O: 0.6612 0.4230 0.6299  1 B 1.39
O: 0.7603 0.6505 0.8265  1 B 1.40
O: 0.5503 0.1780 0.0732  1 B 1.36
O: 0.2350 0.3579 0.1661  1 B 1.39
O: 0.8801 0.8954 0.8794  1 B 1.38
O: 0.7375 0.2832 0.2943  1 B 1.39
O: 0.7679 0.7794 0.1896  1 B 1.37
O: 0.4373 0.8393 0.8906  1 B 1.38
O: 0.2463 0.8388 0.3281  1 B 1.39
O: 0.1215 0.1148 0.0992  1 B 1.40
O: 0.5606 0.8082 0.5612  1 B 1.38
O: 0.1104 0.3580 0.6081  1 B 1.38
O: 0.0861 0.6693 0.0561  1 B 1.39
O: 0.7887 0.1670 0.6548  1 B 1.40
O: 0.7557 0.0134 0.3445  1 B 1.36
O: 0.9253 0.3351 0.9211  1 B 1.38
O: 0.2936 0.4825 0.8584  1 B 1.39
O: 0.9269 0.6680 0.4219  1 B 1.37
O: 0.3664 0.5951 0.3973  1 B 1.40
O: 0.7147 0.5240 0.1203  1 B 1.39
Sn: 0.4098 0.2010 0.6296  5 O 2.02-2.14
Sn: 0.8571 0.3021 0.1131  6 O 2.04-2.19
Sn: 0.6196 0.7958 0.3695  6 O 2.05-2.23
Sn: 0.1341 0.7015 0.8662  6 O 2.06-2.15

Raw formation energy in eV per formula unit: -23.42
Electronic total energy in eV/atom: -6.760
Fermi-level density of states in states/eV per atom: 0.000
Polymorph energy (0 for the lowest one) in eV/f.u.: 0.17